Ir2RuCl4, relaxed, DFT GGA-PBE; SG = I4/mmm (139); raw total energy = -28.778 eV per formula unit; crystal system = tetragonal
1.0
-1.235 -4.381 -2.366
0.823 -2.584 4.354
-5.751 -2.727 2.490
Ir Cl Ru
2 4 1
direct
0.600 0.600 0.800
0.400 0.400 0.200
0.200 0.200 0.600
0.500 0.000 0.000
0.000 0.500 0.000
0.800 0.800 0.400
0.000 0.000 0.000